# 1
The following is a PBE-GGA calculation of Ca2AuBr after structural relaxation, from Alexandria via LeMat-Bulk.

Cell and atoms, written as POSCAR:
```
Ca2AuBr
1.0
2.043 1.180 9.817
-2.043 1.180 9.817
0.000 -2.359 9.817
Ca Au Br
2 1 1
Direct
0.000 0.000 0.000
0.222 0.222 0.222
0.725 0.725 0.725
0.498 0.498 0.498
```

## Properties
Crystal system: trigonal
Relative energy among the computed polymorphs (meV/atom): 309
ΔE_f (raw) (kJ/mol of formula units): -308

# 2
The following is a PBE-GGA calculation of AcYPd after structural relaxation, from Alexandria via LeMat-Bulk.

Cell and atoms, written as POSCAR:
```
AcYPd
1.0
0.000 3.636 3.636
3.636 0.000 3.636
3.636 3.636 0.000
Ac Y Pd
1 1 1
Direct
0.000 0.000 0.000
0.500 0.500 0.500
0.250 0.250 0.250
```

## Properties
Crystal system: cubic
Relative energy among the computed polymorphs (meV/atom): 196

# 3
The following is a PBE-GGA calculation of Ba2CaGa2 after structural relaxation, from Alexandria via LeMat-Bulk.

Cell and atoms, written as POSCAR:
```
Ba2CaGa2
1.0
-2.611 2.611 7.329
2.611 -2.611 7.329
2.611 2.611 -7.329
Ba Ca Ga
2 1 2
Direct
0.124 0.124 0.000
0.876 0.876 0.000
0.500 0.500 0.000
0.250 0.750 0.500
0.750 0.250 0.500
```

## Properties
Crystal system: tetragonal
Relative energy among the computed polymorphs (meV/atom): 409

# 4
The following is a PBE-GGA calculation of ScTaTi2C after structural relaxation, from Alexandria via LeMat-Bulk.

Cell and atoms, written as POSCAR:
```
ScTaTi2C
1.0
4.294 0.000 0.000
0.000 4.294 0.000
0.000 0.000 4.399
Sc Ta Ti C
1 1 2 1
Direct
0.000 0.000 0.000
0.500 0.500 0.000
0.000 0.500 0.500
0.500 0.000 0.500
0.500 0.500 0.500
```

## Properties
Crystal system: tetragonal
VASP energy (eV/atom): -8.859

# 5
The following is a PBE-GGA calculation of Th5RuAu2 after structural relaxation, from Alexandria via LeMat-Bulk.

Cell and atoms, written as POSCAR:
```
Th5RuAu2
1.0
8.354 0.000 0.000
0.000 11.801 0.000
0.000 0.000 4.509
Th Ru Au
10 2 4
Direct
0.000 0.000 0.000
0.139 0.289 0.000
0.188 0.574 0.500
0.312 0.074 0.500
0.361 0.789 0.000
0.500 0.500 0.000
0.639 0.211 0.000
0.688 0.926 0.500
0.812 0.426 0.500
0.861 0.711 0.000
0.000 0.500 0.000
0.500 0.000 0.000
0.088 0.827 0.500
0.412 0.327 0.500
0.588 0.673 0.500
0.912 0.173 0.500
```

## Properties
Crystal system: orthorhombic
Relative energy among the computed polymorphs (meV/atom): 0

# 6
The following is a PBE-GGA calculation of Pt2AuCCl after structural relaxation, from Alexandria via LeMat-Bulk.

Cell and atoms, written as POSCAR:
```
Pt2AuCCl
1.0
5.235 0.000 0.000
0.000 5.235 0.000
0.000 0.000 3.758
Pt Au C Cl
2 1 1 1
Direct
0.000 0.500 0.000
0.500 0.000 0.000
0.000 0.000 0.000
0.000 0.000 0.500
0.500 0.500 0.500
```

## Properties
Crystal system: tetragonal
ΔE_f (raw) (kJ/mol of formula units): 814

# 7
The following is a PBE-GGA calculation of Sb2Te2O7 after structural relaxation, from Alexandria via LeMat-Bulk.

Cell and atoms, written as POSCAR:
```
Sb2Te2O7
1.0
4.067 -3.947 0.000
4.067 3.947 0.000
-1.045 0.000 5.947
Sb Te O
2 2 7
Direct
0.208 0.792 0.000
0.792 0.208 0.000
0.254 0.254 0.425
0.746 0.746 0.575
0.025 0.025 0.794
0.067 0.442 0.224
0.442 0.067 0.224
0.500 0.500 0.500
0.558 0.933 0.776
0.933 0.558 0.776
0.975 0.975 0.206
```

## Properties
Crystal system: monoclinic
ΔE_f (raw) (kJ/mol of formula units): -1180

# 8
The following is a PBE-GGA calculation of Rb2BaTlCl8 after structural relaxation, from Alexandria via LeMat-Bulk.

Cell and atoms, written as POSCAR:
```
Rb2BaTlCl8
1.0
6.831 0.000 0.000
1.904 7.115 0.000
2.310 1.217 8.588
Rb Ba Tl Cl
2 1 1 8
Direct
0.104 0.130 0.182
0.896 0.870 0.818
0.500 0.500 0.500
0.500 0.500 0.000
0.214 0.516 0.279
0.249 0.426 0.844
0.332 0.943 0.495
0.366 0.850 0.918
0.634 0.150 0.082
0.668 0.057 0.505
0.751 0.574 0.156
0.786 0.484 0.721
```

## Properties
Crystal system: triclinic
ΔE_f (raw) (kJ/mol of formula units): -1677

no.,volume (Å³/cell),total moment (μB per cell)
1,142,0.00
2,96,0.00
3,200,0.00
4,81,0.00
5,445,0.00
6,103,0.00
7,191,0.00
8,417,1.02